(1)
A geometry-optimized Li2Mg5Cd4 structure, computed with PBE.

```
Li2Mg5Cd4
1.0
7.7676 0.0000 0.0000
0.0000 3.0277 0.0000
-0.9777 0.0000 9.8131
Li Mg Cd
2 5 4
direct
0.0675 0.0000 0.1302
0.9325 0.0000 0.8698
0.1596 0.0000 0.6488
0.4438 0.0000 0.1774
0.5000 0.0000 0.5000
0.5562 0.0000 0.8226
0.8404 0.0000 0.3512
0.1936 0.5000 0.3713
0.2559 0.5000 0.9301
0.7441 0.5000 0.0699
0.8064 0.5000 0.6287
```

---

(2)
A geometry-optimized Li2Mg5Cd4 structure, computed with PBE.

```
Li2Mg5Cd4
1.0
-1.6197 3.9181 9.6660
1.6197 -3.9181 9.6660
1.6197 3.9181 -9.6660
Li Mg Cd
2 5 4
direct
0.0874 0.0874 0.0000
0.9126 0.9126 0.0000
0.1471 0.3518 0.7953
0.4436 0.6482 0.7953
0.5000 0.0000 0.5000
0.5564 0.3518 0.2047
0.8529 0.6482 0.2047
0.1937 0.5000 0.6937
0.2259 0.2259 0.0000
0.7741 0.7741 0.0000
0.8063 0.5000 0.3063
```

---

What should be chosen as the most stable of them? Choose (1).

---

(1)
A geometry-optimized Li2MgCd8 structure, computed with PBE.

```
Li2MgCd8
1.0
3.9273 -6.7805 0.0000
3.9273 6.7805 0.0000
-2.4980 0.0000 4.5429
Li Mg Cd
2 1 8
direct
0.1941 0.8059 0.0000
0.8059 0.1941 0.0000
0.5000 0.5000 0.5000
0.0881 0.0881 0.3032
0.1680 0.4082 0.8496
0.2837 0.7163 0.5000
0.4082 0.1680 0.8496
0.5918 0.8320 0.1504
0.7163 0.2837 0.5000
0.8320 0.5918 0.1504
0.9119 0.9119 0.6968
```

---

(2)
A geometry-optimized Li2MgCd8 structure, computed with PBE.

```
Li2MgCd8
1.0
-2.3669 3.5840 6.7858
2.3669 -3.5840 6.7858
2.3669 3.5840 -6.7858
Li Mg Cd
2 1 8
direct
0.1950 0.1950 0.0000
0.8050 0.8050 0.0000
0.5000 0.5000 0.0000
0.0622 0.3528 0.7095
0.2026 0.0000 0.2026
0.3376 0.8376 0.5000
0.3567 0.6472 0.7095
0.6433 0.3528 0.2905
0.6624 0.1624 0.5000
0.7974 0.0000 0.7974
0.9378 0.6472 0.2905
```

---

What should be chosen as the most stable of them? Choose (2).

---

(1)
A geometry-optimized Li2Mg2Cd structure, computed with PBE.

```
Li2Mg2Cd
1.0
7.5412 0.0000 0.0000
0.0000 7.5412 0.0000
0.0000 0.0000 3.4788
Li Mg Cd
4 4 2
direct
0.1345 0.3655 0.0000
0.3655 0.8655 0.0000
0.6345 0.1345 0.0000
0.8655 0.6345 0.0000
0.1624 0.6624 0.5000
0.3376 0.1624 0.5000
0.6624 0.8376 0.5000
0.8376 0.3376 0.5000
0.0000 0.0000 0.0000
0.5000 0.5000 0.0000
```

---

(2)
A geometry-optimized Li2Mg2Cd structure, computed with PBE.

```
Li2Mg2Cd
1.0
7.7643 0.0000 0.0000
0.0000 7.7643 0.0000
0.0000 0.0000 3.4260
Li Mg Cd
4 4 2
direct
0.1614 0.3386 0.0000
0.3386 0.8386 0.0000
0.6614 0.1614 0.0000
0.8386 0.6614 0.0000
0.1365 0.6365 0.5000
0.3635 0.1365 0.5000
0.6365 0.8635 0.5000
0.8635 0.3635 0.5000
0.0000 0.0000 0.5000
0.5000 0.5000 0.5000
```

---

What should be chosen as the most stable of them? Choose (1).

---

(1)
A geometry-optimized Li2Mg2Cd structure, computed with PBE.

```
Li2Mg2Cd
1.0
3.7349 0.0000 0.0000
0.0000 3.7349 0.0000
0.0000 0.0000 15.7682
Li Mg Cd
4 4 2
direct
0.0000 0.5000 0.2500
0.0000 0.5000 0.7500
0.5000 0.0000 0.2500
0.5000 0.0000 0.7500
0.0000 0.0000 0.1009
0.0000 0.0000 0.8991
0.5000 0.5000 0.3991
0.5000 0.5000 0.6009
0.0000 0.0000 0.5000
0.5000 0.5000 0.0000
```

---

(2)
A geometry-optimized Li2Mg2Cd structure, computed with PBE.

```
Li2Mg2Cd
1.0
5.0801 -2.4123 0.0000
5.0801 2.4123 0.0000
-2.3289 0.0000 8.0549
Li Mg Cd
4 4 2
direct
0.0394 0.0394 0.3499
0.1484 0.1484 0.0608
0.8516 0.8516 0.9392
0.9606 0.9606 0.6501
0.3401 0.3401 0.4564
0.4438 0.4438 0.1492
0.5562 0.5562 0.8508
0.6599 0.6599 0.5436
0.2472 0.2472 0.7669
0.7528 0.7528 0.2331
```

---

What should be chosen as the most stable of them? Choose (2).

---

(1)
A geometry-optimized LiMg3Cd2 structure, computed with PBE.

```
LiMg3Cd2
1.0
4.4889 0.0000 0.0000
0.0000 13.2286 0.0000
0.0000 0.0000 4.2522
Li Mg Cd
2 6 4
direct
0.0000 0.0000 0.0000
0.5000 0.5000 0.0000
0.0000 0.1660 0.5000
0.0000 0.5000 0.5000
0.0000 0.8340 0.5000
0.5000 0.0000 0.5000
0.5000 0.3340 0.5000
0.5000 0.6660 0.5000
0.0000 0.3363 0.0000
0.0000 0.6637 0.0000
0.5000 0.1637 0.0000
0.5000 0.8363 0.0000
```

---

(2)
A geometry-optimized LiMg3Cd2 structure, computed with PBE.

```
LiMg3Cd2
1.0
2.9977 0.0000 0.0000
0.0000 4.9723 0.0000
0.0000 0.0000 8.4459
Li Mg Cd
1 3 2
direct
0.0000 0.0000 0.0000
0.0000 0.0000 0.3256
0.0000 0.5000 0.5080
0.0000 0.5000 0.8526
0.5000 0.0000 0.6787
0.5000 0.5000 0.1716
```

---

What should be chosen as the most stable of them? Choose (1).

---

(1)
A geometry-optimized LiMg14Cd structure, computed with PBE.

```
LiMg14Cd
1.0
6.2997 0.0000 0.0000
-3.1498 5.4557 0.0000
0.0000 0.0000 10.4475
Li Mg Cd
1 14 1
direct
0.0000 0.0000 0.0000
0.0007 0.5004 0.0000
0.1660 0.3321 0.2492
0.1660 0.3321 0.7508
0.1660 0.8340 0.2492
0.1660 0.8340 0.7508
0.4996 0.5004 0.0000
0.4996 0.9993 0.0000
0.5006 0.0012 0.5000
0.5006 0.4994 0.5000
0.6667 0.3333 0.2469
0.6667 0.3333 0.7531
0.6679 0.8340 0.2492
0.6679 0.8340 0.7508
0.9988 0.4994 0.5000
0.0000 0.0000 0.5000
```

---

(2)
A geometry-optimized LiMg14Cd structure, computed with PBE.

```
LiMg14Cd
1.0
6.4745 0.0000 0.0000
0.0000 6.4745 0.0000
0.0000 0.0000 8.6179
Li Mg Cd
1 14 1
direct
0.0000 0.0000 0.0000
0.0000 0.0000 0.5000
0.0000 0.5000 0.0000
0.0000 0.5000 0.5000
0.2486 0.2486 0.2456
0.2486 0.2486 0.7544
0.2486 0.7514 0.2456
0.2486 0.7514 0.7544
0.5000 0.0000 0.0000
0.5000 0.0000 0.5000
0.5000 0.5000 0.5000
0.7514 0.2486 0.2456
0.7514 0.2486 0.7544
0.7514 0.7514 0.2456
0.7514 0.7514 0.7544
0.5000 0.5000 0.0000
```

---

What should be chosen as the most stable of them? Choose (1).